Material: PaTl2W3O12
Method: DFT, PBE+U
State: optimized geometry

Cell: 7.7367 7.7367 7.7367 Å, 57.73 57.73 57.73°
Sites, in units of the cell vectors:
1 O 0.6590 0.0712 0.0712
2 O 0.0712 0.6590 0.0712
3 O 0.3019 0.9372 0.3019
4 O 0.3019 0.3019 0.9372
5 O 0.0712 0.0712 0.6590
6 O 0.3410 0.9288 0.9288
7 O 0.0628 0.6981 0.6981
8 O 0.9372 0.3019 0.3019
9 O 0.9288 0.3410 0.9288
10 O 0.6981 0.6981 0.0628
11 O 0.6981 0.0628 0.6981
12 O 0.9288 0.9288 0.3410
13 Tl 0.6660 0.6660 0.6660
14 Tl 0.3340 0.3340 0.3340
15 W 0.0000 0.5000 0.0000
16 W 0.0000 0.0000 0.5000
17 W 0.5000 0.0000 0.0000
18 Pa 0.0000 0.0000 0.0000

Results
- Raw total energy: -7.42 eV/atom
- Density of states at the Fermi level: 0.183 states/eV per atom